First-principles (GGA-PBE) data for crystalline La8Si3HI4 at its relaxed geometry, as listed in Alexandria.

Unit cell a=8.6576 b=8.6576 c=23.4354 alpha=90.00 beta=90.00 gamma=120.00
Closest atoms and distances in Å follow each position.
Space group R-3m (No. 166, hexagonal axes)
Inequivalent atoms, fractional coordinates:
La  0.0000  0.0000  0.2344 x6  3 Si 2.96
La  0.0003  0.5002  0.2332 x18  1 H 2.94, 2 Si 2.95
Si  0.0000  0.5000  0.5000 x9  6 La 2.95-2.96
H  0.0000  0.0000  0.5000 x3  6 La 2.94
I  0.0000  0.0000  0.0000 x3  6 La 3.43
I  0.0000  0.5000  0.0000 x9  6 La 3.41-3.43

calculated density: 5.58 g/cm³
DOS(E_F): 30.0 states/eV/cell
crystal system: trigonal
total magnetic moment: 0.08 μB per cell
raw total energy: -238.86 eV for the cell shown